{
  "formula": "KCo3Ru4O12",
  "functional": "PBE with a Hubbard U",
  "state": "optimized geometry",
  "lattice": [[-5.530, 2.694, 2.187], [1.930, -4.668, 4.135], [4.632, 4.581, -0.427]],
  "species": ["K", "Co", "Co", "Co", "Ru", "Ru", "Ru", "Ru", "O", "O", "O", "O", "O", "O", "O", "O", "O", "O", "O", "O"],
  "frac_coords": [[0.000, 0.000, 0.000], [0.000, 0.500, 0.500], [0.500, 0.500, 0.000], [0.500, 0.000, 0.500], [0.500, 0.000, 0.000], [0.500, 0.500, 0.500], [0.000, 0.500, 0.000], [0.000, 0.000, 0.500], [0.316, 0.819, 0.135], [0.684, 0.181, 0.865], [0.684, 0.819, 0.503], [0.865, 0.684, 0.181], [0.819, 0.135, 0.316], [0.181, 0.497, 0.316], [0.497, 0.316, 0.181], [0.181, 0.865, 0.684], [0.316, 0.181, 0.497], [0.135, 0.316, 0.819], [0.819, 0.503, 0.684], [0.503, 0.684, 0.819]],
  "final_energy_ev_per_atom": -6.649,
  "m_tot_mub_per_cell": 0.2
}